Entry 1:
An optimized crystal structure of ScRu2W, computed with GGA-PBE.

Lattice parameters (Å, degrees): 5.003 5.003 5.003 140.84 123.77 70.66
Positions (direct):
1 Ru 0.484 0.484 0.000
2 Ru 0.016 0.016 0.000
3 Sc 0.750 0.250 0.500
4 W 0.250 0.750 0.500

Space-group type: Immm
Crystal system: orthorhombic
Formation energy (meV/atom): 5
Electronic total energy (eV per atom): -9.4543


Entry 2:
An optimized crystal structure of ScRuW, computed with GGA-PBE.

Lattice parameters (Å, degrees): 4.451 4.451 2.895 90.00 90.00 120.00
Positions (direct):
1 W 0.333 0.667 0.716
2 Sc 0.667 0.333 0.316
3 Ru 0.000 0.000 0.968

Space-group type: P3m1
Crystal system: trigonal
Energy above the lowest structure with this stoichiometry (eV per formula unit): 0.486
Formation energy (meV/atom): 4
Electronic total energy (eV per atom): -9.5167


Entry 3:
An optimized crystal structure of Sc2RuW, computed with GGA-PBE.

Lattice parameters (Å, degrees): 5.412 5.266 2.944 78.63 80.77 117.97
Positions (direct):
1 Ru 0.500 0.500 0.000
2 W 0.000 0.500 0.500
3 Sc 0.500 0.000 0.500
4 Sc 0.000 0.000 0.000

Space-group type: C2/m
Crystal system: monoclinic
Energy above the lowest structure with this stoichiometry (eV per formula unit): 0.759
Formation energy (meV/atom): 68
Electronic total energy (eV per atom): -8.6546


Entry 4:
An optimized crystal structure of ScRu2W, computed with GGA-PBE.

Lattice parameters (Å, degrees): 3.161 3.161 6.393 90.00 90.00 90.00
Positions (direct):
1 Sc 0.000 0.000 0.484
2 Ru 0.500 0.500 0.259
3 Ru 0.000 0.000 0.984
4 W 0.500 0.500 0.773

Space-group type: P4mm
Crystal system: tetragonal
Formation energy (meV/atom): 71
Electronic total energy (eV per atom): -9.3878


Entry 5:
An optimized crystal structure of Sc2RuW, computed with GGA-PBE.

Lattice parameters (Å, degrees): 3.052 3.052 8.336 90.00 90.00 90.00
Positions (direct):
1 Ru 0.500 0.500 0.721
2 Sc 0.000 0.000 0.940
3 Sc 0.500 0.500 0.299
4 W 0.000 0.000 0.540

Space-group type: P4mm
Crystal system: tetragonal
Energy above the lowest structure with this stoichiometry (eV per formula unit): 0.026
Formation energy (meV/atom): -115
Electronic total energy (eV per atom): -8.8379


Entry 6:
An optimized crystal structure of Sc2Ru3W, computed with GGA-PBE.

Lattice parameters (Å, degrees): 3.148 4.522 7.115 108.53 90.00 90.00
Positions (direct):
1 Sc 0.000 0.333 0.666
2 Sc 0.000 0.667 0.334
3 Ru 0.500 0.158 0.316
4 Ru 0.500 0.500 0.000
5 Ru 0.500 0.842 0.684
6 W 0.000 0.000 0.000

Space-group type: Cmmm
Crystal system: orthorhombic
Formation energy (meV/atom): -443
Electronic total energy (eV per atom): -9.3501


Entry 7:
An optimized crystal structure of Sc2RuW, computed with GGA-PBE.

Lattice parameters (Å, degrees): 3.212 4.830 4.454 90.00 90.00 90.00
Positions (direct):
1 Sc 0.500 0.500 0.000
2 Sc 0.000 0.000 0.000
3 W 0.500 0.000 0.500
4 Ru 0.000 0.500 0.500

Space-group type: Pmmm
Crystal system: orthorhombic
Energy above the lowest structure with this stoichiometry (eV per formula unit): 0.686
Formation energy (meV/atom): 50
Electronic total energy (eV per atom): -8.6731


Entry 8:
An optimized crystal structure of Sc2ZnRu5W2, computed with GGA-PBE.

Lattice parameters (Å, degrees): 3.176 10.287 10.287 90.00 90.00 90.00
Positions (direct):
1 Ru 0.500 0.694 0.442
2 Ru 0.500 0.806 0.942
3 Ru 0.500 0.058 0.806
4 Ru 0.500 0.442 0.306
5 Ru 0.500 0.500 0.000
6 Ru 0.500 0.306 0.558
7 Ru 0.500 0.194 0.058
8 Ru 0.500 0.000 0.500
9 Ru 0.500 0.558 0.694
10 Ru 0.500 0.942 0.194
11 Zn 0.000 0.000 0.000
12 Zn 0.000 0.500 0.500
13 W 0.000 0.142 0.642
14 W 0.000 0.858 0.358
15 W 0.000 0.642 0.858
16 W 0.000 0.358 0.142
17 Sc 0.000 0.166 0.334
18 Sc 0.000 0.334 0.834
19 Sc 0.000 0.834 0.666
20 Sc 0.000 0.666 0.166

Space-group type: P4/mbm
Crystal system: tetragonal
Formation energy (meV/atom): 0
Electronic total energy (eV per atom): -8.6226


Q: Among the records above, which one has the highest electronic total energy?
A: Sc2ZnRu5W2


Q: What is the formula in the fifth record?
A: Sc2RuW


Q: Which of these has the highest formation energy?
A: number 4


Q: electronic total energy of number 1 (ScRu2W)?
A: -9.4543 eV per atom